Crystalline NaY3SiS7 at its relaxed geometry, computed with GGA-PBE.

Cell: 9.988 9.988 5.745 Å, 90.00 90.00 120.00°
Fractional positions:
Na1 0.000 0.000 0.536
Na2 0.000 0.000 0.036
S1 0.522 0.413 0.516
S2 0.478 0.587 0.016
S3 0.333 0.667 0.536
S4 0.587 0.109 0.516
S5 0.166 0.263 0.289
S6 0.413 0.891 0.016
S7 0.667 0.333 0.036
S8 0.891 0.478 0.516
S9 0.263 0.097 0.789
S10 0.737 0.903 0.289
S11 0.903 0.166 0.789
S12 0.834 0.737 0.789
S13 0.097 0.834 0.289
S14 0.109 0.522 0.016
Y1 0.362 0.130 0.255
Y2 0.768 0.638 0.255
Y3 0.130 0.768 0.755
Y4 0.232 0.362 0.755
Y5 0.638 0.870 0.755
Y6 0.870 0.232 0.255
Si1 0.333 0.667 0.167
Si2 0.667 0.333 0.667

Summary:
calculated total energy = -6.172 eV per atom
formation energy (no corrections) = -1.587 eV per atom
SG = P6_3 (173)

Crystalline NaY2SiS at its relaxed geometry, computed with GGA-PBE.

Cell: 5.511 4.407 5.511 Å, 90.00 90.00 90.00°
Fractional positions:
Y1 0.500 0.000 0.000
Y2 0.000 0.000 0.500
Na1 0.000 0.000 0.000
Si1 0.500 0.500 0.500
S1 0.000 0.500 0.000

Summary:
calculated total energy = -4.195 eV per atom
formation energy (no corrections) = 0.565 eV per atom
SG = P4/mmm (123)

Crystalline NaZn2SiS4 at its relaxed geometry, computed with GGA-PBE.

Cell: 6.093 6.093 6.442 Å, 118.27 118.27 89.91°
Fractional positions:
Zn1 0.250 0.750 0.500
Zn2 0.750 0.250 0.500
Si1 0.500 0.500 0.000
Na1 0.000 0.000 0.999
S1 0.166 0.166 0.741
S2 0.835 0.425 0.260
S3 0.425 0.835 0.260
S4 0.576 0.576 0.741

Summary:
calculated total energy = -3.851 eV per atom
formation energy (no corrections) = -0.626 eV per atom
SG = Fmm2 (42)

Crystalline Na2ZnSiS4 at its relaxed geometry, computed with GGA-PBE.

Cell: 6.485 7.685 7.473 Å, 90.00 90.00 90.00°
Fractional positions:
Zn1 0.995 0.134 0.500
Zn2 0.495 0.866 0.000
Si1 0.000 0.154 0.000
Si2 0.500 0.846 0.500
S1 0.828 0.868 0.500
S2 0.359 0.095 0.500
S3 0.418 0.695 0.265
S4 0.418 0.695 0.735
S5 0.918 0.305 0.765
S6 0.918 0.305 0.235
S7 0.859 0.905 0.000
S8 0.328 0.132 0.000
Na1 0.991 0.664 0.244
Na2 0.491 0.336 0.256
Na3 0.991 0.664 0.756
Na4 0.491 0.336 0.744

Summary:
calculated total energy = -4.150 eV per atom
formation energy (no corrections) = -0.919 eV per atom
SG = Pmn2_1 (31)

Crystalline NaSm5S6 at its relaxed geometry, computed with GGA-PBE.

Cell: 6.959 6.944 6.941 Å, 59.98 80.41 70.56°
Fractional positions:
Sm1 0.000 0.666 0.669
Sm2 0.500 0.836 0.327
Sm3 0.500 0.500 0.000
Sm4 0.000 0.334 0.331
Sm5 0.500 0.164 0.673
S1 0.754 0.751 0.000
S2 0.749 0.083 0.333
S3 0.251 0.584 0.333
S4 0.246 0.249 0.000
S5 0.251 0.917 0.667
S6 0.749 0.416 0.667
Na1 0.000 0.000 0.000

Summary:
calculated total energy = -6.099 eV per atom
formation energy (no corrections) = -1.959 eV per atom
SG = C2/m (12)

Crystalline NaSm4S5 at its relaxed geometry, computed with GGA-PBE.

Cell: 4.020 5.652 10.664 Å, 105.37 100.86 90.00°
Fractional positions:
S1 0.398 0.898 0.795
S2 0.602 0.102 0.205
S3 0.802 0.302 0.603
S4 0.000 0.500 0.000
S5 0.198 0.698 0.397
Na1 0.000 0.000 0.000
Sm1 0.203 0.203 0.406
Sm2 0.400 0.400 0.800
Sm3 0.600 0.600 0.200
Sm4 0.797 0.797 0.594

Summary:
calculated total energy = -6.034 eV per atom
formation energy (no corrections) = -1.950 eV per atom
SG = Immm (71)

Crystalline NaSm2S at its relaxed geometry, computed with GGA-PBE.

Cell: 3.817 3.817 10.682 Å, 79.71 79.71 60.00°
Fractional positions:
S1 0.500 0.500 0.500
Sm1 0.114 0.114 0.657
Sm2 0.886 0.886 0.343
Na1 0.000 0.000 0.000

Summary:
calculated total energy = -4.479 eV per atom
formation energy (no corrections) = -0.757 eV per atom
SG = R-3m (166)

Crystalline Na2SmSnS4 at its relaxed geometry, computed with GGA-PBE.

Cell: 3.996 6.999 7.088 Å, 108.93 90.00 90.00°
Fractional positions:
Sm1 0.500 0.500 0.000
Sn1 0.000 0.000 0.000
S1 0.000 0.250 0.771
S2 0.500 0.761 0.771
S3 0.000 0.750 0.229
S4 0.500 0.239 0.229
Na1 0.000 0.500 0.500
Na2 0.500 0.000 0.500

Summary:
calculated total energy = -4.730 eV per atom
formation energy (no corrections) = -1.246 eV per atom
SG = P2/m (10)

Crystalline Na2SmSn3S6 at its relaxed geometry, computed with GGA-PBE.

Cell: 7.036 7.036 7.150 Å, 99.30 99.30 120.17°
Fractional positions:
S1 0.088 0.401 0.248
S2 0.599 0.912 0.752
S3 0.768 0.768 0.260
S4 0.912 0.599 0.752
S5 0.401 0.088 0.248
S6 0.232 0.232 0.740
Na1 0.668 0.332 0.000
Na2 0.332 0.668 0.000
Sn1 0.500 0.500 0.500
Sn2 0.164 0.836 0.500
Sn3 0.836 0.164 0.500
Sm1 0.000 0.000 0.000

Summary:
calculated total energy = -4.613 eV per atom
formation energy (no corrections) = -0.935 eV per atom
SG = C2/m (12)

Crystalline Na4Sm3SnS8 at its relaxed geometry, computed with GGA-PBE.

Cell: 8.105 8.167 8.104 Å, 119.76 120.00 90.00°
Fractional positions:
S1 0.251 0.271 0.011
S2 0.749 0.729 0.989
S3 0.240 0.729 0.480
S4 0.760 0.271 0.011
S5 0.256 0.268 0.512
S6 0.744 0.732 0.488
S7 0.240 0.729 0.989
S8 0.760 0.271 0.520
Na1 0.000 0.000 0.000
Na2 0.000 0.000 0.500
Na3 0.500 0.000 0.000
Na4 0.500 0.000 0.500
Sn1 0.000 0.500 0.000
Sm1 0.000 0.500 0.500
Sm2 0.500 0.500 0.000
Sm3 0.500 0.500 0.500

Summary:
calculated total energy = -5.059 eV per atom
formation energy (no corrections) = -1.530 eV per atom
SG = R-3m (166)

| no. | density (g/cm³) | D(E_F) (states/eV/cell) |
| --- | --- | --- |
| 1 | 3.6 | 0.00 |
| 2 | 3.2 | 3.43 |
| 3 | 2.9 | 2.71 |
| 4 | 2.4 | 0.00 |
| 5 | 5.9 | 4.60 |
| 6 | 5.7 | 2.48 |
| 7 | 4.5 | 3.89 |
| 8 | 3.9 | 2.42 |
| 9 | 4.3 | 4.93 |
| 10 | 4.0 | 1.47 |